No. 1
First-principles (PBE-GGA) data for a geometry-optimized HfTlZn structure, as listed in the Alexandria database.

It has space group I4mm (No. 107), with a = 3.226 Å, b = 3.226 Å, c = 12.039 Å, α = 90.00°, β = 90.00° and γ = 90.00°. The inequivalent atoms are Hf at (0.000, 0.000, 0.000), Tl at (0.000, 0.000, 0.309) and Zn at (0.000, 0.000, 0.641).

The energy above the most stable polymorph in this dataset is 0.00 eV per formula unit. The calculation puts the formation energy from the elements at 29 kJ/mol of formula units. The total moment comes out at 0.000 μB per atom. As for the total energy: -4.43 eV/atom.

No. 2
First-principles (PBE-GGA) data for a geometry-optimized OsPtSe structure, as listed in the Alexandria database.

It has space group P3m1 (No. 156), with a = 4.0065 Å, b = 4.0065 Å, c = 3.5847 Å, α = 90.00°, β = 90.00° and γ = 120.00°. The inequivalent atoms are Os at (0.0000, 0.0000, 0.0000), Pt at (0.6667, 0.3333, 0.4551) and Se at (0.3333, 0.6667, 0.8337).

The raw formation energy is 0.466 eV per atom. The energy above the most stable polymorph in this dataset is 0.29 eV per formula unit. The total moment comes out at 0.000 μB per atom. As for the total energy: -6.45 eV/atom.

No. 3
First-principles (PBE-GGA) data for a geometry-optimized PrZnIn2Au2 structure, as listed in the Alexandria database.

It has space group I4/mmm (No. 139), with a = 5.441 Å, b = 5.441 Å, c = 11.174 Å, α = 90.00°, β = 90.00° and γ = 90.00°. The inequivalent atoms are Pr at (0.000, 0.000, 0.000), Zn at (0.000, 0.000, 0.500), In at (0.000, 0.500, 0.250) and Au at (0.000, 0.000, 0.278).

The calculation puts the formation energy from the elements at -59 kJ/mol of formula units. The total moment comes out at 0.000 μB per atom. As for the total energy: -3.12 eV/atom.

No. 4
First-principles (PBE-GGA) data for a geometry-optimized TiIrRh6 structure, as listed in the Alexandria database.

It has space group C2/m (No. 12), with a = 7.643 Å, b = 5.126 Å, c = 7.028 Å, α = 90.00°, β = 109.28° and γ = 90.00°. The inequivalent atoms are Ti at (0.000, 0.000, 0.000), Ir at (0.000, 0.500, 0.500), Rh at (0.137, 0.000, 0.429) and Rh at (0.209, 0.240, 0.805).

The energy above the most stable polymorph in this dataset is 3.85 eV per formula unit. The calculation puts the formation energy from the elements at 151 kJ/mol of formula units. The total moment comes out at 0.000 μB per atom. As for the total energy: -7.41 eV/atom.